# 1
Entry from the Alexandria database: a relaxed Cu3GeAu4 crystal (PBE).

Cell lengths 2.8469, 4.3841, 14.1945 Å; angles 128.48, 95.76, 90.00 degrees
Fractional positions:
Au (0.6858, 0.6359, 0.3716)
Cu (0.2055, 0.2155, 0.4110)
Au (0.4000, 0.2160, 0.8000)
Ge (0.5000, 0.0000, 0.0000)
Au (0.3142, 0.3641, 0.6284)
Au (0.6000, 0.7840, 0.2000)
Cu (0.7945, 0.7845, 0.5890)
Cu (0.0000, 0.5000, 0.0000)

Results
Fermi-level density of states	0.40	states/eV per atom
total magnetic moment	0.00	μB/f.u.
VASP energy	-3.694	eV/atom
energy relative to the elements	0.0577	eV per atom

# 2
Entry from the Alexandria database: a relaxed Na2TaAuS crystal (PBE).

Cell lengths 4.9802, 5.0283, 4.9802 Å; angles 90.00, 90.00, 90.00 degrees
Site moments in Bohr magnetons follow the coordinates.
Fractional positions:
Ta (0.5000, 0.5000, 0.5000)  2.16
S (0.0000, 0.0000, 0.0000)  0.03
Na (0.5000, 0.0000, 0.0000)  0.01
Au (0.0000, 0.5000, 0.0000)  0.02
Na (0.0000, 0.0000, 0.5000)  0.02

Results
uncorrected formation energy	19.06	kcal/mol of atoms
Fermi-level density of states	0.69	states/eV per atom
total magnetic moment	3.66	μB/f.u.
VASP energy	-3.553	eV/atom

# 3
Entry from the Alexandria database: a relaxed Ho8CuGe3Te4 crystal (PBE).

Cell lengths 8.3998, 8.5654, 8.4008 Å; angles 119.36, 120.00, 90.00 degrees
Fractional positions:
Ho (0.2431, 0.7227, 0.4863)
Ho (0.7365, 0.7227, 0.9796)
Ge (0.5000, 0.5000, 0.0000)
Te (0.5000, 0.0000, 0.0000)
Ge (0.0000, 0.5000, 0.5000)
Ho (0.2635, 0.2773, 0.0204)
Cu (0.0000, 0.5000, 0.0000)
Ho (0.7396, 0.7188, 0.4792)
Ho (0.2604, 0.2812, 0.5208)
Te (0.0000, 0.0000, 0.5000)
Te (0.5000, 0.0000, 0.5000)
Ge (0.5000, 0.5000, 0.5000)
Ho (0.2431, 0.7227, 0.9796)
Ho (0.7569, 0.2773, 0.0204)
Te (0.0000, 0.0000, 0.0000)
Ho (0.7569, 0.2773, 0.5137)

Results
uncorrected formation energy	-23.88	kcal/mol of atoms
Fermi-level density of states	0.48	states/eV per atom
total magnetic moment	0.00	μB/f.u.
VASP energy	-5.231	eV/atom

# 4
Entry from the Alexandria database: a relaxed Sb2Te2Se crystal (PBE).

Cell lengths 8.2521, 8.2521, 4.2441 Å; angles 90.00, 90.00, 90.00 degrees
Fractional positions:
Se (0.0000, 0.0000, 0.0000)
Sb (0.1333, 0.6333, 0.5000)
Te (0.6761, 0.1761, 0.0000)
Sb (0.3667, 0.1333, 0.5000)
Te (0.1761, 0.3239, 0.0000)
Te (0.3239, 0.8239, 0.0000)
Sb (0.8667, 0.3667, 0.5000)
Sb (0.6333, 0.8667, 0.5000)
Te (0.8239, 0.6761, 0.0000)
Se (0.5000, 0.5000, 0.0000)

Results
uncorrected formation energy	5.96	kcal/mol of atoms
Fermi-level density of states	1.02	states/eV per atom
total magnetic moment	0.00	μB/f.u.
VASP energy	-3.344	eV/atom